# TaNiTeN2 PBE optimized geometry
data_TaNiTeN2
_chemical_formula_sum 'Ta1 Ni1 Te1 N2'
_cell_length_a 3.951
_cell_length_b 3.951
_cell_length_c 5.920
_cell_angle_alpha 90.00
_cell_angle_beta 90.00
_cell_angle_gamma 90.00
_symmetry_space_group_name_H-M 'P 4/m m m'
_symmetry_Int_Tables_number 123
_symmetry_space_group_name_Hall '-P 4 2'
loop_
_atom_site_label
_atom_site_type_symbol
_atom_site_fract_x
_atom_site_fract_y
_atom_site_fract_z
Ta1 Ta 0.000 0.000 0.000
Ni1 Ni 0.500 0.500 0.500
Te1 Te 0.000 0.000 0.500
N1 N 0.000 0.500 0.000
# Electronic total energy (eV/atom): -7.0181
# Crystal system: tetragonal
# E above lowest polymorph (eV per atom): 0.000
# E_form (uncorrected) (meV per atom): 467